# LiMgCd

A relaxed structure of LiMgCd (PBE, Alexandria via LeMat-Bulk).

Values from the calculation:
Mass density, g/cm3: 3.8
Total DFT energy (no corrections), Ry per atom: -0.1156
Crystal system: trigonal
Excess energy over the best structure of this formula in the dataset, eV/atom: 0.0891
Formation energy from the elements, kJ/mol of formula units: -28

a = 3.145 Å, b = 3.145 Å, c = 7.390 Å
α = 90.00°, β = 90.00°, γ = 120.00°
Fractional coordinates of all 3 atoms:
Li 0.000 0.000 0.000
Mg 0.333 0.667 0.338
Cd 0.667 0.333 0.685

# Ca2CuAg2

A relaxed structure of Ca2CuAg2 (PBE, Alexandria via LeMat-Bulk).

Values from the calculation:
Mass density, g/cm3: 5.0
Total DFT energy (no corrections), Ry per atom: -0.2134
Crystal system: tetragonal
Excess energy over the best structure of this formula in the dataset, eV/atom: 0.0000
Formation energy from the elements, kJ/mol of formula units: -69

a = 7.428 Å, b = 7.428 Å, c = 4.356 Å
α = 90.00°, β = 90.00°, γ = 90.00°
Fractional coordinates of all 10 atoms:
Ca 0.174 0.326 0.000
Ca 0.326 0.826 0.000
Ca 0.674 0.174 0.000
Ca 0.826 0.674 0.000
Cu 0.000 0.000 0.500
Cu 0.500 0.500 0.500
Ag 0.134 0.634 0.500
Ag 0.366 0.134 0.500
Ag 0.634 0.866 0.500
Ag 0.866 0.366 0.500

# CdReRu3

A relaxed structure of CdReRu3 (PBE, Alexandria via LeMat-Bulk).

Values from the calculation:
Mass density, g/cm3: 9.7
Total DFT energy (no corrections), Ry per atom: -0.5024
Crystal system: cubic
Excess energy over the best structure of this formula in the dataset, eV/atom: 0.0000
Formation energy from the elements, kJ/mol of formula units: 677

a = 4.687 Å, b = 4.687 Å, c = 4.687 Å
α = 90.00°, β = 90.00°, γ = 90.00°
Fractional coordinates of all 5 atoms:
Cd 0.000 0.000 0.000
Re 0.500 0.500 0.500
Ru 0.000 0.500 0.500
Ru 0.500 0.000 0.500
Ru 0.500 0.500 0.000

# La2GaC

A relaxed structure of La2GaC (PBE, Alexandria via LeMat-Bulk).

Values from the calculation:
Mass density, g/cm3: 6.6
Total DFT energy (no corrections), Ry per atom: -0.3797
Crystal system: cubic
Formation energy from the elements, kJ/mol of formula units: 139

a = 7.110 Å, b = 7.110 Å, c = 7.110 Å
α = 90.00°, β = 90.00°, γ = 90.00°
Fractional coordinates of all 16 atoms:
La 0.250 0.250 0.250
La 0.250 0.250 0.750
La 0.250 0.750 0.250
La 0.250 0.750 0.750
La 0.750 0.250 0.250
La 0.750 0.250 0.750
La 0.750 0.750 0.250
La 0.750 0.750 0.750
Ga 0.000 0.000 0.000
Ga 0.000 0.500 0.500
Ga 0.500 0.000 0.500
Ga 0.500 0.500 0.000
C 0.000 0.000 0.500
C 0.000 0.500 0.000
C 0.500 0.000 0.000
C 0.500 0.500 0.500